{
  "formula": "Nd12RhAu6",
  "functional": "GGA-PBE",
  "state": "relaxed",
  "lattice_angstrom": [[6.528, 3.769, 4.163], [-6.528, 3.769, 4.163], [0.000, -7.538, 4.163]],
  "species": ["Nd", "Nd", "Nd", "Nd", "Nd", "Nd", "Nd", "Nd", "Nd", "Nd", "Nd", "Nd", "Rh", "Au", "Au", "Au", "Au", "Au", "Au"],
  "frac_coords": [[0.037, 0.933, 0.682], [0.067, 0.318, 0.963], [0.183, 0.577, 0.426], [0.318, 0.963, 0.067], [0.423, 0.574, 0.817], [0.426, 0.183, 0.577], [0.574, 0.817, 0.423], [0.577, 0.426, 0.183], [0.682, 0.037, 0.933], [0.817, 0.423, 0.574], [0.933, 0.682, 0.037], [0.963, 0.067, 0.318], [0.000, 0.000, 0.000], [0.131, 0.305, 0.625], [0.305, 0.625, 0.131], [0.375, 0.869, 0.695], [0.625, 0.131, 0.305], [0.695, 0.375, 0.869], [0.869, 0.695, 0.375]],
  "sg": "R-3 (148)",
  "dos_ef_per_ev_atom": 1.220,
  "dft_energy_ry_per_atom": -0.359
}

{
  "formula": "Nd8Rh2Au",
  "functional": "GGA-PBE",
  "state": "relaxed",
  "lattice_angstrom": [[4.272, -6.852, 0.000], [4.272, 6.852, 0.000], [-1.899, 0.000, 5.585]],
  "species": ["Nd", "Nd", "Nd", "Nd", "Nd", "Nd", "Nd", "Nd", "Rh", "Rh", "Au"],
  "frac_coords": [[0.091, 0.338, 0.569], [0.229, 0.771, 0.000], [0.338, 0.091, 0.569], [0.379, 0.379, 0.176], [0.621, 0.621, 0.824], [0.662, 0.909, 0.431], [0.771, 0.229, 0.000], [0.909, 0.662, 0.431], [0.288, 0.712, 0.500], [0.712, 0.288, 0.500], [0.000, 0.000, 0.000]],
  "sg": "C2/m (12)",
  "dos_ef_per_ev_atom": 1.115,
  "dft_energy_ry_per_atom": -0.399
}